This record from Alexandria describes a relaxed structure of VP2IrO. The functional is GGA+U.

Structure (POSCAR):
```
VP2IrO
1.0
4.831 0.000 0.000
0.000 4.831 0.000
0.000 0.000 3.671
P Ir O V
2 1 1 1
Direct
0.000 0.500 0.000 P
0.500 0.000 0.000 P
0.000 0.000 0.000 Ir
0.000 0.000 0.500 O
0.500 0.500 0.500 V
```

Computed properties:
Crystal system: tetragonal
DOS at the Fermi energy in states/eV/f.u.: 3.642
Symmetry: No. 123
Size of the total moment in μB per cell: 0.21
Energy above the most stable polymorph in this dataset in eV/f.u.: 1.026